--- one ---
VASP calculation (GGA-PBE) on a relaxed structure of ErPbF.

Cell: 3.8480 3.8480 5.2899 Å, 90.00 90.00 120.00°
With the nearest neighbours (Å) after each atom.
Space group P-6m2 (No. 187)
Asymmetric unit:
Er 0.0000 0.0000 0.0000 (multiplicity 1)  3 F 2.22
Pb 0.6667 0.3333 0.5000 (multiplicity 1)  6 Er 3.45, 6 F 3.45, 6 Pb 3.85
F 0.3333 0.6667 0.0000 (multiplicity 1)  3 Er 2.22

***

--- two ---
VASP calculation (GGA-PBE) on a relaxed structure of ErPbF.

Cell: 6.7219 6.5939 7.0685 Å, 90.00 110.78 90.00°
With the nearest neighbours (Å) after each atom.
Space group P2_1/c (No. 14)
Asymmetric unit:
Er 0.2370 0.1493 0.2479 (multiplicity 4)  2 F 2.12-2.13
Pb 0.3240 0.6737 0.4393 (multiplicity 4)  1 Pb 3.19, 4 Er 3.21-3.53, 4 F 3.42-3.56
F 0.1399 0.1428 0.5039 (multiplicity 4)  2 Er 2.12-2.13

***

Quick one: least stable of them? two

***

--- one ---
VASP calculation (GGA-PBE) on a relaxed structure of ErSeF2.

Cell: 3.0569 3.9087 13.7520 Å, 90.00 90.00 90.00°
With the nearest neighbours (Å) after each atom.
Space group Imm2 (No. 44)
Asymmetric unit:
Er 0.0000 0.0000 0.0000 (multiplicity 2)  2 F 2.14
Se 0.0000 0.5000 0.6789 (multiplicity 2)  2 Er 2.90, 2 Se 3.06, 2 F 3.14
F 0.0000 0.0000 0.5001 (multiplicity 2)  2 F 2.46, 4 Er 2.48
F 0.0000 0.5000 0.3913 (multiplicity 2)  2 Er 2.14

***

--- two ---
VASP calculation (GGA-PBE) on a relaxed structure of ErSeF2.

Cell: 3.7940 3.7940 16.8066 Å, 90.00 90.00 120.00°
With the nearest neighbours (Å) after each atom.
Space group R-3m (No. 166, hexagonal axes)
Asymmetric unit:
Er 0.0000 0.0000 0.0000 (multiplicity 3)  6 F 2.25
Se 0.0000 0.0000 0.5000 (multiplicity 3)  8 F 3.15-3.33
F 0.0000 0.0000 0.3016 (multiplicity 6)  3 Er 2.25, 3 F 2.44

***

Quick one: least stable of them? one

***

--- one ---
VASP calculation (GGA-PBE) on a relaxed structure of ErSnF.

Cell: 3.8194 3.8194 5.2069 Å, 90.00 90.00 120.00°
With the nearest neighbours (Å) after each atom.
Space group P-6m2 (No. 187)
Asymmetric unit:
Er 0.0000 0.0000 0.0000 (multiplicity 1)  3 F 2.21
Sn 0.6667 0.3333 0.5000 (multiplicity 1)  6 Er 3.41, 6 F 3.41, 6 Sn 3.82
F 0.3333 0.6667 0.0000 (multiplicity 1)  3 Er 2.21

***

--- two ---
VASP calculation (GGA-PBE) on a relaxed structure of ErSnF.

Cell: 10.4330 10.4330 12.1931 Å, 90.00 90.00 120.00°
With the nearest neighbours (Å) after each atom.
Space group R-3 (No. 148, hexagonal axes)
Asymmetric unit:
Er 0.0570 0.5983 0.2716 (multiplicity 18)  3 F 2.29-2.38
Sn 0.0436 0.1841 0.8526 (multiplicity 18)  3 Sn 2.92-3.01, 2 Er 3.14-3.17
F 0.0528 0.8594 0.4233 (multiplicity 18)  3 Er 2.29-2.38

***

Quick one: least stable of them? one

***

--- one ---
VASP calculation (GGA-PBE) on a relaxed structure of ErTeF.

Cell: 4.0895 4.0895 4.3128 Å, 90.00 90.00 120.00°
With the nearest neighbours (Å) after each atom.
Space group P-6m2 (No. 187)
Asymmetric unit:
Er 0.0000 0.0000 0.0000 (multiplicity 1)  3 F 2.36
Te 0.6667 0.3333 0.5000 (multiplicity 1)  6 Er 3.20, 6 F 3.20
F 0.3333 0.6667 0.0000 (multiplicity 1)  3 Er 2.36

***

--- two ---
VASP calculation (GGA-PBE) on a relaxed structure of ErTeF.

Cell: 4.3556 3.9419 7.6028 Å, 90.00 96.78 90.00°
With the nearest neighbours (Å) after each atom.
Space group P2_1/m (No. 11)
Asymmetric unit:
Er 0.1821 0.2500 0.2108 (multiplicity 2)  3 F 2.28-2.41
Te 0.2820 0.2500 0.6451 (multiplicity 2)  5 Er 3.11-3.28, 2 F 3.18-3.40
F 0.1891 0.7500 0.0280 (multiplicity 2)  3 Er 2.28-2.41

***

--- three ---
VASP calculation (GGA-PBE) on a relaxed structure of ErTeF.

Cell: 10.7363 4.1041 7.1418 Å, 90.00 110.13 90.00°
With the nearest neighbours (Å) after each atom.
Space group C2/m (No. 12)
Asymmetric unit:
Er 0.2154 0.0000 0.2609 (multiplicity 4)  3 F 2.32-2.33
Te 0.0890 0.0000 0.8066 (multiplicity 4)  4 Er 3.06-3.13, 1 F 3.19
F 0.1879 0.5000 0.3948 (multiplicity 4)  3 Er 2.32-2.33

***

Quick one: least stable of them? two

***

--- one ---
VASP calculation (GGA-PBE) on a relaxed structure of ErTeF.

Cell: 6.2073 6.8487 7.5826 Å, 90.00 120.20 90.00°
With the nearest neighbours (Å) after each atom.
Space group P2_1/c (No. 14)
Asymmetric unit:
Er 0.1245 0.1801 0.2269 (multiplicity 4)  3 F 2.23-2.32
Te 0.3150 0.5817 0.1187 (multiplicity 4)  4 Er 3.13-3.26, 3 F 3.36-3.46
F 0.1186 0.0875 0.9306 (multiplicity 4)  3 Er 2.23-2.32

***

--- two ---
VASP calculation (GGA-PBE) on a relaxed structure of ErTeF.

Cell: 3.5373 3.5373 10.2130 Å, 90.00 90.00 90.00°
With the nearest neighbours (Å) after each atom.
Space group I4mm (No. 107)
Asymmetric unit:
Er 0.0000 0.0000 0.0000 (multiplicity 2)  4 F 2.65
Te 0.0000 0.0000 0.3126 (multiplicity 2)  1 F 2.79
F 0.0000 0.0000 0.5860 (multiplicity 2)  4 Er 2.65, 1 Te 2.79

***

Quick one: least stable of them? two

***

--- one ---
VASP calculation (GGA-PBE) on a relaxed structure of ErTl2F8.

Cell: 7.0553 7.0553 4.5114 Å, 90.00 90.00 120.00°
With the nearest neighbours (Å) after each atom.
Space group P-3 (No. 147)
Asymmetric unit:
Er 0.0000 0.0000 0.0000 (multiplicity 1)  6 F 2.17
Tl 0.3333 0.6667 0.7352 (multiplicity 2)  5 F 2.23-2.27
F 0.1503 0.3020 0.7479 (multiplicity 6)  1 Er 2.17, 1 Tl 2.23
F 0.3333 0.6667 0.2380 (multiplicity 2)  2 Tl 2.24-2.27

***

--- two ---
VASP calculation (GGA-PBE) on a relaxed structure of ErTl2F8.

Cell: 10.0939 7.5495 4.6749 Å, 90.00 106.96 90.00°
With the nearest neighbours (Å) after each atom.
Space group C2/m (No. 12)
Asymmetric unit:
Er 0.0000 0.0000 0.0000 (multiplicity 2)  6 F 2.14-2.18
Tl 0.1596 0.5000 0.3588 (multiplicity 4)  5 F 2.23-2.36
F 0.0848 0.5000 0.7926 (multiplicity 4)  3 Tl 2.36-2.53
F 0.1318 0.0000 0.7146 (multiplicity 4)  1 Er 2.14, 1 Tl 2.23
F 0.1448 0.1999 0.2466 (multiplicity 8)  1 Er 2.18, 1 Tl 2.32

***

Quick one: least stable of them? one

***

--- one ---
VASP calculation (GGA-PBE) on a relaxed structure of YErF.

Cell: 13.2044 3.5018 7.1162 Å, 90.00 122.23 90.00°
With the nearest neighbours (Å) after each atom.
Space group C2/m (No. 12)
Asymmetric unit:
Y 0.2334 0.0000 0.2627 (multiplicity 4)  1 F 2.40
Er 0.0054 0.5000 0.7783 (multiplicity 4)  2 F 2.45
F 0.1546 0.0000 0.8716 (multiplicity 4)  1 Y 2.40, 2 Er 2.45

***

--- two ---
VASP calculation (GGA-PBE) on a relaxed structure of YErF.

Cell: 3.6817 3.6817 5.6081 Å, 90.00 90.00 120.00°
With the nearest neighbours (Å) after each atom.
Space group P3m1 (No. 156)
Asymmetric unit:
Y 0.0000 0.0000 0.0000 (multiplicity 1)  3 F 2.59
Er 0.3333 0.6667 0.5198 (multiplicity 1)  3 F 2.56
F 0.6667 0.3333 0.2654 (multiplicity 1)  3 Er 2.56, 3 Y 2.59

***

Quick one: least stable of them? two

***

--- one ---
VASP calculation (GGA-PBE) on a relaxed structure of ErGa3Fe3.

Cell: 6.4804 6.4804 6.4804 Å, 90.00 90.00 90.00°
With the nearest neighbours (Å) after each atom.
Space group Pm-3n (No. 223)
Asymmetric unit:
Er 0.0000 0.0000 0.0000 (multiplicity 2)  12 Fe 3.62, 12 Ga 3.62
Ga 0.0000 0.2500 0.5000 (multiplicity 6)  4 Fe 2.29
Fe 0.0000 0.5000 0.2500 (multiplicity 6)  4 Ga 2.29

***

--- two ---
VASP calculation (GGA-PBE) on a relaxed structure of ErGa3Fe3.

Cell: 8.2026 8.2026 3.9587 Å, 90.00 90.00 120.00°
With the nearest neighbours (Å) after each atom.
Space group P6_3/m (No. 176)
Asymmetric unit:
Er 0.3333 0.6667 0.2500 (multiplicity 2)  9 Fe 2.83
Ga 0.0512 0.7702 0.7500 (multiplicity 6)  4 Fe 2.53-2.59
Fe 0.0588 0.4656 0.7500 (multiplicity 6)  2 Fe 2.39, 4 Ga 2.53-2.59

***

Quick one: least stable of them? one

***

--- one ---
VASP calculation (GGA-PBE) on a relaxed structure of Er3FeGe3.

Cell: 10.5797 4.1800 13.7562 Å, 90.00 110.51 90.00°
With the nearest neighbours (Å) after each atom.
Space group C2/m (No. 12)
Asymmetric unit:
Er 0.0270 0.0000 0.3817 (multiplicity 4)  6 Ge 2.90-3.13, 4 Fe 3.02-3.16
Er 0.0986 0.0000 0.9197 (multiplicity 4)  7 Ge 2.90-3.18
Er 0.2448 0.0000 0.2307 (multiplicity 4)  6 Ge 2.88-3.12, 2 Fe 3.22
Fe 0.2418 0.5000 0.4076 (multiplicity 4)  4 Ge 2.40-2.50
Ge 0.0441 0.5000 0.2411 (multiplicity 4)  1 Fe 2.50, 1 Ge 2.70
Ge 0.1250 0.5000 0.0753 (multiplicity 4)  2 Ge 2.70-2.73, 5 Er 2.90-2.94
Ge 0.1410 0.5000 0.5457 (multiplicity 4)  3 Fe 2.40-2.48

***

--- two ---
VASP calculation (GGA-PBE) on a relaxed structure of Er3FeGe3.

Cell: 4.0787 10.4106 13.4281 Å, 90.00 90.00 90.00°
With the nearest neighbours (Å) after each atom.
Space group Cmcm (No. 63)
Asymmetric unit:
Er 0.0000 0.0041 0.2500 (multiplicity 4)  7 Ge 2.90-3.08
Er 0.0000 0.2868 0.1007 (multiplicity 8)  6 Ge 2.93-3.04, 1 Fe 3.28
Fe 0.0000 0.0000 0.0000 (multiplicity 4)  4 Ge 2.49
Ge 0.0000 0.2742 0.7500 (multiplicity 4)  2 Ge 2.68, 5 Er 2.90-2.93
Ge 0.0000 0.4294 0.5910 (multiplicity 8)  2 Fe 2.49, 1 Ge 2.68

***

Quick one: least stable of them? two

***

--- one ---
VASP calculation (GGA-PBE) on a relaxed structure of Er2Fe3Ge4.

Cell: 5.2408 9.2486 12.2917 Å, 90.00 90.00 90.00°
With the nearest neighbours (Å) after each atom.
Space group Fmmm (No. 69)
Asymmetric unit:
Er 0.0000 0.0000 0.1354 (multiplicity 8)  8 Ge 2.98-3.08, 6 Fe 3.10-3.14, 1 Er 3.33
Fe 0.0000 0.0000 0.5000 (multiplicity 4)  4 Ge 2.48, 4 Fe 2.66
Fe 0.2500 0.2500 0.0000 (multiplicity 8)  4 Ge 2.46, 4 Fe 2.62-2.66
Ge 0.0000 0.1680 0.3425 (multiplicity 16)  3 Fe 2.46-2.48, 1 Ge 2.73

***

--- two ---
VASP calculation (GGA-PBE) on a relaxed structure of Er2Fe3Ge4.

Cell: 5.4405 14.5382 7.2996 Å, 90.00 90.00 90.00°
With the nearest neighbours (Å) after each atom.
Space group Cmce (No. 64)
Asymmetric unit:
Er 0.0000 0.1117 0.0940 (multiplicity 8)  8 Ge 2.96-3.10, 6 Fe 2.97-3.29
Fe 0.0000 0.0000 0.5000 (multiplicity 4)  6 Ge 2.42-2.68
Fe 0.2500 0.2241 0.7500 (multiplicity 8)  5 Ge 2.44-2.51, 2 Fe 2.72
Ge 0.0000 0.1842 0.4729 (multiplicity 8)  5 Fe 2.51-2.68
Ge 0.2500 0.0563 0.7500 (multiplicity 8)  3 Fe 2.42-2.44

***

Quick one: least stable of them? one

***

--- one ---
VASP calculation (GGA-PBE) on a relaxed structure of Er2FeHg.

Cell: 7.0873 7.0873 7.0873 Å, 90.00 90.00 90.00°
With the nearest neighbours (Å) after each atom.
Space group Fm-3m (No. 225)
Asymmetric unit:
Er 0.2500 0.2500 0.2500 (multiplicity 8)  4 Hg 3.07, 4 Fe 3.07
Fe 0.0000 0.0000 0.0000 (multiplicity 4)  8 Er 3.07
Hg 0.0000 0.0000 0.5000 (multiplicity 4)  8 Er 3.07

***

--- two ---
VASP calculation (GGA-PBE) on a relaxed structure of Er2FeHg.

Cell: 3.4254 3.4254 7.4652 Å, 90.00 90.00 90.00°
With the nearest neighbours (Å) after each atom.
Space group P4/mmm (No. 123)
Asymmetric unit:
Er 0.0000 0.0000 0.2167 (multiplicity 2)  4 Fe 2.91, 4 Hg 3.22, 1 Er 3.24
Fe 0.5000 0.5000 0.0000 (multiplicity 1)  8 Er 2.91
Hg 0.5000 0.5000 0.5000 (multiplicity 1)  8 Er 3.22, 4 Hg 3.43

***

Quick one: least stable of them? one